Density functional theory data (GGA-PBE) for a relaxed Nd3ErRu2 crystal.

Geometry as POSCAR:
```
Nd3ErRu2
1.0
-0.348 -3.772 -2.065
4.431 -5.472 4.741
-6.361 -5.444 6.508
Nd Er Ru
6 2 4
Cartesian
-4.408 -5.079 5.511
2.131 -9.609 3.672
-3.388 -11.621 8.274
1.110 -3.068 0.909
-0.422 -10.762 6.206
-1.855 -3.927 2.978
-2.225 -7.860 5.716
-0.053 -6.829 3.467
-3.643 -10.222 5.763
1.366 -4.466 3.420
-3.054 -6.512 3.395
0.777 -8.176 5.788
```

---

Density functional theory data (GGA-PBE) for a relaxed NdEr5Ru6 crystal.

Geometry as POSCAR:
```
NdEr5Ru6
1.0
4.607 0.019 -1.344
-0.932 5.970 -3.109
-0.083 0.435 8.287
Ru Nd Er
6 1 5
Cartesian
3.236 3.768 2.578
3.699 0.804 4.122
1.608 4.464 -2.992
2.067 1.525 -1.462
-0.108 5.620 -0.288
0.355 2.656 1.255
0.000 0.000 0.000
2.897 1.171 1.379
1.170 2.287 4.042
-0.466 2.985 -1.554
2.421 4.137 -0.209
0.694 5.254 2.454
```

---

Density functional theory data (GGA-PBE) for a relaxed NdErRu crystal.

Geometry as POSCAR:
```
NdErRu
1.0
3.415 0.000 -0.899
0.000 5.308 0.000
0.335 0.000 8.210
Nd Er Ru
2 2 2
Cartesian
1.579 1.327 2.531
2.171 3.981 4.780
1.013 3.981 0.382
2.736 1.327 6.930
3.264 3.981 1.995
0.486 1.327 5.316
```

For the energy above the lowest structure with this stoichiometry, the calculation gives 0.125 eV per atom.

---

Density functional theory data (GGA-PBE) for a relaxed Nd3ErRu8 crystal.

Geometry as POSCAR:
```
Nd3ErRu8
1.0
-3.248 -2.453 3.532
1.911 -3.957 3.120
1.782 3.811 8.398
Nd Er Ru
3 1 8
Cartesian
1.067 0.954 9.866
-1.330 -6.390 6.674
0.231 -1.277 7.548
-0.497 -4.168 8.983
-1.821 -3.279 6.266
1.605 -2.180 10.216
-0.245 -2.089 4.552
-0.038 -3.422 12.003
0.505 0.401 4.855
0.730 -0.890 12.388
0.682 -4.009 6.066
-1.005 -1.419 10.425
```

---

One value per record, in order, for D(E_F): 7.15 12.07 5.72 15.82 states/eV/cell.
One value per record, in order, for formation energy: -172.9 -325.6 -158.7 -179.5 meV/atom.
One value per record, in order, for total energy: -76.91 -87.14 -38.17 -95.23 eV for the cell shown.